Compound: LiGa2Pt2
Source: OQMD via LeMat-Bulk
Functional: PBE
Structure: relaxed

Calculated values
**Total moment**: 0.002 μB/atom
**E_tot**: -46.95 eV per cell

Lattice parameters (Å, degrees): 7.5097 7.5097 2.8057 90.00 90.00 90.00
Element x y z (fractional)
Ga 0.3611 0.1389 0.0000
Ga 0.8611 0.3611 0.0000
Ga 0.1389 0.6389 0.0000
Ga 0.6389 0.8611 0.0000
Li 0.0000 0.0000 0.0000
Li 0.5000 0.5000 0.0000
Pt 0.6602 0.1602 0.5000
Pt 0.1602 0.3398 0.5000
Pt 0.8398 0.6602 0.5000
Pt 0.3398 0.8398 0.5000

Compound: BeTcNiAs
Source: OQMD via LeMat-Bulk
Functional: PBE
Structure: relaxed

Calculated values
**Total moment**: 0.023 μB/atom
**Offset from the most stable computed form**: 0.0 meV/atom

Lattice parameters (Å, degrees): 4.0828 4.0828 4.0828 60.00 60.00 60.00
Element x y z (fractional)
As 0.0000 0.0000 0.0000
Be 0.5000 0.5000 0.5000
Ni 0.7500 0.7500 0.7500
Tc 0.2500 0.2500 0.2500

Compound: NaDyAgTe3
Source: OQMD via LeMat-Bulk
Functional: PBE
Structure: relaxed

Calculated values
**Total moment**: 0.001 μB/atom
**E_tot**: -46.27 eV per cell

Lattice parameters (Å, degrees): 7.8562 7.8562 11.2153 90.00 90.00 149.07
Element x y z (fractional)
Ag 0.4697 0.5303 0.2500
Ag 0.5303 0.4697 0.7500
Dy 0.0000 0.0000 0.0000
Dy 0.0000 0.0000 0.5000
Na 0.7689 0.2311 0.2500
Na 0.2311 0.7689 0.7500
Te 0.3571 0.6429 0.0550
Te 0.0938 0.9062 0.2500
Te 0.3571 0.6429 0.4450
Te 0.6429 0.3571 0.5550
Te 0.9062 0.0938 0.7500
Te 0.6429 0.3571 0.9450

Compound: HfAs2Ir
Source: OQMD via LeMat-Bulk
Functional: PBE
Structure: relaxed

Calculated values
**Total moment**: 0.003 μB/atom
**E_tot**: -28.53 eV per cell

Lattice parameters (Å, degrees): 4.6488 4.6488 4.6488 60.00 60.00 60.00
Element x y z (fractional)
As 0.0000 0.0000 0.0000
As 0.2500 0.2500 0.2500
Hf 0.5000 0.5000 0.5000
Ir 0.7500 0.7500 0.7500

Compound: NaTmZnS3
Source: OQMD via LeMat-Bulk
Functional: PBE
Structure: relaxed

Calculated values
**Total moment**: 0.000 μB/atom
**Offset from the most stable computed form**: 28.1 meV/atom

Lattice parameters (Å, degrees): 3.9149 11.2075 11.4285 90.00 90.00 90.00
Element x y z (fractional)
Na 0.7500 0.1481 0.0053
Na 0.7500 0.6481 0.4947
Na 0.2500 0.3519 0.5053
Na 0.2500 0.8519 0.9947
S 0.7500 0.5962 0.0689
S 0.7500 0.9430 0.1592
S 0.2500 0.2219 0.1745
S 0.2500 0.7219 0.3255
S 0.7500 0.4430 0.3408
S 0.7500 0.0962 0.4311
S 0.2500 0.9038 0.5689
S 0.2500 0.5570 0.6592
S 0.7500 0.2781 0.6745
S 0.7500 0.7781 0.8255
S 0.2500 0.0570 0.8408
S 0.2500 0.4038 0.9311
Tm 0.2500 0.4675 0.1736
Tm 0.2500 0.9675 0.3264
Tm 0.7500 0.0325 0.6736
Tm 0.7500 0.5325 0.8264
Zn 0.7500 0.7427 0.2104
Zn 0.7500 0.2427 0.2896
Zn 0.2500 0.7573 0.7104
Zn 0.2500 0.2573 0.7896

Compound: BeCoAgBi
Source: OQMD via LeMat-Bulk
Functional: PBE
Structure: relaxed

Calculated values
**Total moment**: 0.007 μB/atom
**Offset from the most stable computed form**: 0.0 meV/atom

Lattice parameters (Å, degrees): 4.4980 4.4980 4.4980 60.00 60.00 60.00
Element x y z (fractional)
Ag 0.5000 0.5000 0.5000
Be 0.2500 0.2500 0.2500
Bi 0.0000 0.0000 0.0000
Co 0.7500 0.7500 0.7500

Compound: Gd2TmMg3Tl2Hg
Source: OQMD via LeMat-Bulk
Functional: PBE
Structure: relaxed

Calculated values
**Total moment**: 0.000 μB/atom
**E_tot**: -26.81 eV per cell

Lattice parameters (Å, degrees): 4.6112 7.5074 7.5074 119.43 90.00 90.00
Element x y z (fractional)
Gd 0.0000 0.4220 0.0013
Gd 0.0000 0.0013 0.4220
Hg 0.0000 0.9946 0.9946
Mg 0.5000 0.7613 0.0002
Mg 0.5000 0.2373 0.2373
Mg 0.5000 0.0002 0.7613
Tl 0.5000 0.6661 0.3368
Tl 0.5000 0.3368 0.6661
Tm 0.0000 0.5804 0.5804

Compound: SrHfNO
Source: OQMD via LeMat-Bulk
Functional: PBE
Structure: relaxed

Calculated values
**Total moment**: 0.140 μB/atom
**Offset from the most stable computed form**: 25.8 meV/atom

Lattice parameters (Å, degrees): 3.8974 5.7423 6.5106 90.00 90.00 90.00
Element x y z (fractional)
Hf 0.0000 0.4919 0.3282
Hf 0.0000 0.9919 0.6718
N 0.0000 0.8322 0.3972
N 0.0000 0.3322 0.6028
O 0.5000 0.4584 0.2199
O 0.5000 0.9584 0.7801
Sr 0.5000 0.9715 0.1732
Sr 0.5000 0.4715 0.8268

Compound: RbOsAuSeS2
Source: OQMD via LeMat-Bulk
Functional: PBE
Structure: relaxed

Calculated values
**Total moment**: 0.202 μB/atom
**E_tot**: -56.65 eV per cell

Lattice parameters (Å, degrees): 8.8220 8.8220 9.9269 90.00 90.00 157.32
Element x y z (fractional)
Au 0.1159 0.8841 0.2500
Au 0.8841 0.1159 0.7500
Os 0.5000 0.5000 0.0000
Os 0.5000 0.5000 0.5000
Rb 0.7848 0.2152 0.2500
Rb 0.2152 0.7848 0.7500
S 0.0968 0.9032 0.0187
S 0.0968 0.9032 0.4813
S 0.9032 0.0968 0.5187
S 0.9032 0.0968 0.9813
Se 0.4566 0.5434 0.2500
Se 0.5434 0.4566 0.7500

Compound: SrZrHg
Source: OQMD via LeMat-Bulk
Functional: PBE
Structure: relaxed

Calculated values
**Total moment**: 0.060 μB/atom
**Offset from the most stable computed form**: 631.3 meV/atom

Lattice parameters (Å, degrees): 5.1127 5.1127 5.1127 60.00 60.00 60.00
Element x y z (fractional)
Hg 0.2500 0.2500 0.2500
Sr 0.0000 0.0000 0.0000
Zr 0.7500 0.7500 0.7500

Compound: Tm3Ni8Hg
Source: OQMD via LeMat-Bulk
Functional: PBE
Structure: relaxed

Calculated values
**Total moment**: 0.000 μB/atom
**Formation energy**: -42 kJ per mole of atoms

Lattice parameters (Å, degrees): 8.6463 8.6463 8.6463 33.43 33.43 33.43
Element x y z (fractional)
Hg 0.1274 0.1274 0.1274
Ni 0.5632 0.5632 0.0574
Ni 0.5641 0.0631 0.0631
Ni 0.0631 0.5641 0.0631
Ni 0.3121 0.3121 0.3121
Ni 0.0574 0.5632 0.5632
Ni 0.5632 0.0574 0.5632
Ni 0.0631 0.0631 0.5641
Ni 0.8126 0.8126 0.8126
Tm 0.0061 0.0061 0.0061
Tm 0.4945 0.4945 0.4945
Tm 0.6232 0.6232 0.6232

Compound: SmGdZr2Ge2
Source: OQMD via LeMat-Bulk
Functional: PBE
Structure: relaxed

Calculated values
**Total moment**: 0.023 μB/atom
**E_tot**: -39.84 eV per cell

Lattice parameters (Å, degrees): 4.2160 4.2160 8.0681 90.00 90.00 90.00
Element x y z (fractional)
Gd 0.0000 0.0000 0.6552
Ge 0.0000 0.0000 0.2595
Ge 0.5000 0.5000 0.7386
Sm 0.5000 0.5000 0.3487
Zr 0.5000 0.0000 0.9989
Zr 0.0000 0.5000 0.9989